Computed, not measured: a relaxed structure of KSr2ZrB at the PBE level of DFT.

Output
ΔH_f (0 K) = 1081.1 meV/atom
Symmetry = P4/mmm

Unit cell a=5.7202 b=5.7202 c=5.8528 alpha=90.00 beta=90.00 gamma=90.00
Last column: nearest neighbours and their distance in Å.
Fractional coordinates of all 5 atoms:
K1 0.0000 0.0000 0.0000  2 B 2.93
Sr1 0.0000 0.5000 0.5000  2 B 2.86
Sr2 0.5000 0.0000 0.5000  2 B 2.86
Zr1 0.5000 0.5000 0.0000  4 K 4.04, 8 Sr 4.09
B1 0.0000 0.0000 0.5000  4 Sr 2.86, 2 K 2.93